No. 1
Here is an optimized crystal structure of NaTbBi from the Alexandria database. Energies are from GGA-PBE.

Values from the calculation:
Energy of formation = -1.0 eV/f.u.

a b c (Å): 16.652 5.334 10.445
angles (deg): 90.00 94.56 90.00
Space group C2/m (No. 12)
Inequivalent atoms, fractional coordinates:
Na  0.035  0.000  0.342 (multiplicity 4)
Na  0.085  0.500  0.873 (multiplicity 4)
Tb  0.245  0.500  0.630 (multiplicity 4)
Tb  0.248  0.500  0.124 (multiplicity 4)
Bi  0.142  0.000  0.109 (multiplicity 4)
Bi  0.147  0.000  0.608 (multiplicity 4)



No. 2
Here is an optimized crystal structure of CaPPd3 from the Alexandria database. Energies are from GGA-PBE.

Values from the calculation:
Energy of formation = -3.4 eV/f.u.

a b c (Å): 4.588 4.588 4.588
angles (deg): 90.00 90.00 90.00
Space group Pm-3m (No. 221)
Inequivalent atoms, fractional coordinates:
Ca  0.000  0.000  0.000 (multiplicity 1)
P  0.500  0.500  0.500 (multiplicity 1)
Pd  0.000  0.500  0.500 (multiplicity 3)



No. 3
Here is an optimized crystal structure of PmYPS from the Alexandria database. Energies are from GGA-PBE.

Values from the calculation:
Raw formation energy = -1.87 eV/atom

a b c (Å): 4.0223 4.0223 19.8363
angles (deg): 90.00 90.00 120.00
Space group R3m (No. 160, hexagonal axes)
Inequivalent atoms, fractional coordinates:
Pm  0.0000  0.0000  0.0000 (multiplicity 3)
Y  0.0000  0.0000  0.5058 (multiplicity 3)
P  0.0000  0.0000  0.2502 (multiplicity 3)
S  0.0000  0.0000  0.7557 (multiplicity 3)



No. 4
Here is an optimized crystal structure of LiAsO2 from the Alexandria database. Energies are from GGA-PBE.

Values from the calculation:
Raw formation energy = -1.20 eV/atom

a b c (Å): 4.605 4.605 9.997
angles (deg): 90.00 90.00 90.00
Space group I-42d (No. 122)
Inequivalent atoms, fractional coordinates:
Li  0.000  0.000  0.000 (multiplicity 4)
As  0.000  0.000  0.500 (multiplicity 4)
O  0.248  0.250  0.625 (multiplicity 8)



No. 5
Here is an optimized crystal structure of Ca2LaIr9 from the Alexandria database. Energies are from GGA-PBE.

Values from the calculation:
Energy of formation = -4.5 eV/f.u.

a b c (Å): 5.3784 5.3784 26.1725
angles (deg): 90.00 90.00 120.00
Space group R-3m (No. 166, hexagonal axes)
Inequivalent atoms, fractional coordinates:
Ca  0.0000  0.0000  0.1414 (multiplicity 6)
La  0.0000  0.0000  0.0000 (multiplicity 3)
Ir  0.0000  0.0000  0.3328 (multiplicity 6)
Ir  0.0000  0.0000  0.5000 (multiplicity 3)
Ir  0.0018  0.5009  0.0819 (multiplicity 18)



No. 6
Here is an optimized crystal structure of Er2GeO5 from the Alexandria database. Energies are from GGA-PBE.

Values from the calculation:
Raw formation energy = -2.95 eV/atom

a b c (Å): 9.344 6.886 6.787
angles (deg): 90.00 98.52 90.00
Space group P2_1/c (No. 14)
Inequivalent atoms, fractional coordinates:
Er  0.033  0.118  0.226 (multiplicity 4)
Er  0.347  0.143  0.977 (multiplicity 4)
Ge  0.299  0.604  0.981 (multiplicity 4)
O  0.104  0.121  0.915 (multiplicity 4)
O  0.107  0.648  0.963 (multiplicity 4)
O  0.282  0.069  0.276 (multiplicity 4)
O  0.358  0.074  0.660 (multiplicity 4)
O  0.404  0.686  0.487 (multiplicity 4)



No. 7
Here is an optimized crystal structure of CrRuSe2 from the Alexandria database. Energies are from GGA-PBE.

Values from the calculation:
Raw formation energy = -0.12 eV/atom

a b c (Å): 3.365 3.365 6.629
angles (deg): 90.00 90.00 90.00
Space group P4mm (No. 99)
Inequivalent atoms, fractional coordinates:
Cr  0.000  0.000  0.000 (multiplicity 1)
Ru  0.500  0.500  0.244 (multiplicity 1)
Se  0.000  0.000  0.394 (multiplicity 1)
Se  0.500  0.500  0.861 (multiplicity 1)



No. 8
Here is an optimized crystal structure of YSb3Au from the Alexandria database. Energies are from GGA-PBE.

Values from the calculation:
Raw formation energy = 0.18 eV/atom

a b c (Å): 5.375 5.375 5.375
angles (deg): 90.00 90.00 90.00
Space group Pm-3m (No. 221)
Inequivalent atoms, fractional coordinates:
Y  0.000  0.000  0.000 (multiplicity 1)
Sb  0.000  0.500  0.500 (multiplicity 3)
Au  0.500  0.500  0.500 (multiplicity 1)



No. 9
Here is an optimized crystal structure of CaNiAu3 from the Alexandria database. Energies are from GGA-PBE.

Values from the calculation:
Energy of formation = -0.7 eV/f.u.

a b c (Å): 4.844 4.844 4.844
angles (deg): 90.00 90.00 90.00
Space group Pm-3m (No. 221)
Inequivalent atoms, fractional coordinates:
Ca  0.000  0.000  0.000 (multiplicity 1)
Ni  0.500  0.500  0.500 (multiplicity 1)
Au  0.000  0.500  0.500 (multiplicity 3)



No. 10
Here is an optimized crystal structure of Li2ZnPbCl6 from the Alexandria database. Energies are from GGA-PBE.

Values from the calculation:
Raw formation energy = -1.35 eV/atom

a b c (Å): 6.6187 6.6187 18.2027
angles (deg): 90.00 90.00 120.00
Space group R3 (No. 146, hexagonal axes)
Inequivalent atoms, fractional coordinates:
Li  0.0000  0.0000  0.0000 (multiplicity 3)
Li  0.0000  0.0000  0.4943 (multiplicity 3)
Zn  0.0000  0.0000  0.6923 (multiplicity 3)
Pb  0.0000  0.0000  0.1995 (multiplicity 3)
Cl  0.0013  0.3274  0.7577 (multiplicity 9)
Cl  0.0214  0.6242  0.2676 (multiplicity 9)



No. 11
Here is an optimized crystal structure of ThPaHg from the Alexandria database. Energies are from GGA-PBE.

Values from the calculation:
Energy of formation = 0.6 eV/f.u.

a b c (Å): 5.3403 5.3403 3.2761
angles (deg): 90.00 90.00 120.00
Space group P3m1 (No. 156)
Inequivalent atoms, fractional coordinates:
Th  0.0000  0.0000  0.0000 (multiplicity 1)
Pa  0.6667  0.3333  0.5582 (multiplicity 1)
Hg  0.3333  0.6667  0.3442 (multiplicity 1)



No. 12
Here is an optimized crystal structure of BiPb2WCl from the Alexandria database. Energies are from GGA-PBE.

Values from the calculation:
Raw formation energy = 1.31 eV/atom

a b c (Å): 6.194 6.194 5.331
angles (deg): 90.00 90.00 90.00
Space group P4/mmm (No. 123)
Inequivalent atoms, fractional coordinates:
Bi  0.000  0.000  0.000 (multiplicity 1)
Pb  0.000  0.500  0.000 (multiplicity 2)
W  0.000  0.000  0.500 (multiplicity 1)
Cl  0.500  0.500  0.500 (multiplicity 1)